Entry 1:
Below is Be2TlPRh after structural relaxation, with properties calculated at the PBE level.

Cell: 4.5009 4.4200 4.5009 Å, 90.00 90.00 90.00°
Element x y z (fractional)
P1 0.0000 0.5000 0.0000
Tl1 0.5000 0.5000 0.5000
Rh1 0.0000 0.0000 0.0000
Be1 0.0000 0.0000 0.5000
Be2 0.5000 0.0000 0.0000

Calculated values
V   17.91 Å³/atom
Energy relative to the elements   279 meV/atom
Crystal system   tetragonal

***

Entry 2:
Below is SrPW2 after structural relaxation, with properties calculated at the PBE level.

Cell: 3.2876 3.2876 7.3630 Å, 90.00 90.00 90.00°
Last column: magnetic moment on the atom in μB.
Element x y z (fractional)
Sr1 0.5000 0.5000 0.7333  0.02
P1 0.0000 0.0000 0.4310  0.01
W1 0.0000 0.0000 0.0758  0.08
W2 0.5000 0.5000 0.2599  -0.01

Calculated values
V   19.90 Å³/atom
Energy relative to the elements   215 meV/atom
Crystal system   tetragonal

***

Entry 3:
Below is Ni2MoHW after structural relaxation, with properties calculated at the PBE level.

Cell: 3.7108 3.7108 4.0475 Å, 90.00 90.00 90.00°
Element x y z (fractional)
Ni1 0.0000 0.5000 0.0000
Ni2 0.5000 0.0000 0.0000
Mo1 0.5000 0.5000 0.5000
W1 0.0000 0.0000 0.5000
H1 0.0000 0.0000 0.0000

Calculated values
V   11.15 Å³/atom
Polymorph energy (0 for the lowest one)   29 meV/atom
Crystal system   tetragonal

***

Entry 4:
Below is Ho3In2Hg3 after structural relaxation, with properties calculated at the PBE level.

Cell: 6.2168 8.9473 8.9473 Å, 120.00 90.00 90.00°
Element x y z (fractional)
Ho1 0.7500 0.3110 0.0000
Ho2 0.7500 0.6890 0.6890
Ho3 0.7500 0.0000 0.3110
Ho4 0.2500 0.6890 0.0000
Ho5 0.2500 0.3110 0.3110
Ho6 0.2500 0.0000 0.6890
In1 0.0000 0.3333 0.6667
In2 0.5000 0.6667 0.3333
In3 0.0000 0.6667 0.3333
In4 0.5000 0.3333 0.6667
Hg1 0.7500 0.6571 0.0000
Hg2 0.7500 0.3429 0.3429
Hg3 0.7500 0.0000 0.6571
Hg4 0.2500 0.3429 0.0000
Hg5 0.2500 0.6571 0.6571
Hg6 0.2500 0.0000 0.3429

Calculated values
V   26.94 Å³/atom
Energy relative to the elements   -338 meV/atom
Crystal system   hexagonal

***

Entry 5:
Below is Tb5Pm2DyY after structural relaxation, with properties calculated at the PBE level.

Cell: 8.6212 8.6212 10.0062 Å, 115.52 115.52 90.00°
Element x y z (fractional)
Tb1 0.9271 0.4271 0.2803
Tb2 0.6468 0.1468 0.7197
Tb3 0.0729 0.5729 0.7197
Tb4 0.1468 0.0729 0.7197
Tb5 0.5729 0.6468 0.7197
Tb6 0.8532 0.9271 0.2803
Tb7 0.4271 0.3532 0.2803
Tb8 0.3532 0.8532 0.2803
Tb9 0.5000 0.5000 0.0000
Tb10 0.0000 0.0000 0.0000
Pm1 0.1182 0.3818 0.0000
Pm2 0.6182 0.1182 0.0000
Pm3 0.3818 0.8818 0.0000
Pm4 0.8818 0.6182 0.0000
Dy1 0.2500 0.2500 0.5000
Dy2 0.7500 0.7500 0.5000
Y1 0.2500 0.7500 0.5000
Y2 0.7500 0.2500 0.5000

Calculated values
V   32.76 Å³/atom
Energy relative to the elements   274 meV/atom
Crystal system   tetragonal

***

Entry 6:
Below is HfTe2AsN after structural relaxation, with properties calculated at the PBE level.

Cell: 5.5417 5.5417 3.6376 Å, 90.00 90.00 90.00°
Element x y z (fractional)
As1 0.0000 0.0000 0.0000
Te1 0.0000 0.5000 0.0000
Te2 0.5000 0.0000 0.0000
Hf1 0.5000 0.5000 0.5000
N1 0.0000 0.0000 0.5000

Calculated values
V   22.34 Å³/atom
Polymorph energy (0 for the lowest one)   477 meV/atom
Formation energy without anion corrections   697 meV per atom
Crystal system   tetragonal

***

Entry 7:
Below is EuHoAg4 after structural relaxation, with properties calculated at the PBE level.

Cell: 5.7626 5.7626 5.7626 Å, 60.00 60.00 60.00°
Last column: magnetic moment on the atom in μB.
Element x y z (fractional)
Eu1 0.0000 0.0000 0.0000  6.84
Ho1 0.2500 0.2500 0.2500  0.14
Ag1 0.6247 0.6247 0.1259  0.02
Ag2 0.6247 0.1259 0.6247  0.02
Ag3 0.6247 0.6247 0.6247  0.02
Ag4 0.1259 0.6247 0.6247  0.02

Calculated values
V   22.55 Å³/atom
Energy relative to the elements   -163 meV/atom
Crystal system   cubic

***

Entry 8:
Below is SrSn2Rh5 after structural relaxation, with properties calculated at the PBE level.

Cell: 3.9757 6.7842 6.7842 Å, 64.31 72.96 72.96°
Element x y z (fractional)
Sr1 0.0000 0.0000 0.0000
Sn1 0.7560 0.7440 0.7440
Sn2 0.2440 0.2560 0.2560
Rh1 0.0000 0.5000 0.5000
Rh2 0.6296 0.5611 0.1797
Rh3 0.3704 0.4389 0.8203
Rh4 0.3704 0.8203 0.4389
Rh5 0.6296 0.1797 0.5611

Calculated values
V   19.34 Å³/atom
Energy relative to the elements   -283 meV/atom
Crystal system   orthorhombic

***

In eV/atom, the VASP energy values for the records above are, in order, -4.24 -8.03 -7.66 -2.85 -4.58 -5.15 -4.54 -6.09.